VASP calculation (SCAN) on a PBEsol-optimized structure of AlFeRh3.

Unit cell a=4.3707 b=4.3707 c=4.3707 alpha=90.00 beta=90.00 gamma=90.00
Closest atoms and distances in Å follow each position.
Positions (direct):
Rh (0.0000, 0.5000, 0.0000)  2 Fe 2.19
Rh (0.0000, 0.0000, 0.5000)  2 Fe 2.19
Rh (0.5000, 0.0000, 0.0000)  2 Fe 2.19
Fe (0.0000, 0.0000, 0.0000)  6 Rh 2.19
Al (0.5000, 0.5000, 0.5000)  12 Rh 3.09

Results
Energy of formation = 0.767 eV/atom
Calculated density = 7.79 g/cm³
Space group = Pm-3m, No. 221

=====

VASP calculation (SCAN) on a PBEsol-optimized structure of AlFe2Rh.

Unit cell a=2.8983 b=4.0108 c=4.1921 alpha=90.00 beta=90.00 gamma=90.00
Closest atoms and distances in Å follow each position.
Positions (direct):
Rh (0.5000, 0.0000, 0.5000)  4 Al 2.47, 4 Fe 2.55
Fe (0.0000, 0.0000, 0.0000)  4 Fe 2.47, 4 Rh 2.55
Fe (0.5000, 0.5000, 0.0000)  4 Fe 2.47, 4 Al 2.55
Al (0.0000, 0.5000, 0.5000)  4 Rh 2.47, 4 Fe 2.55

Results
Energy of formation = -0.509 eV/atom
Calculated density = 8.23 g/cm³
Space group = Pmmm, No. 47

=====

VASP calculation (SCAN) on a PBEsol-optimized structure of AlFe2Rh.

Unit cell a=2.6263 b=3.7302 c=5.0359 alpha=90.00 beta=90.00 gamma=90.00
Closest atoms and distances in Å follow each position.
Positions (direct):
Rh (0.5000, 0.5000, 0.0000)  2 Al 2.52, 8 Fe 2.62, 2 Rh 2.63
Fe (0.0000, 0.0000, 0.7447)  4 Fe 2.46-2.63, 4 Al 2.59, 4 Rh 2.62
Fe (0.0000, 0.0000, 0.2553)  4 Fe 2.46-2.63, 4 Al 2.59, 4 Rh 2.62
Al (0.5000, 0.5000, 0.5000)  2 Rh 2.52, 8 Fe 2.59, 2 Al 2.63

Results
Energy of formation = -0.329 eV/atom
Calculated density = 8.13 g/cm³
Space group = Pmmm, No. 47

=====

VASP calculation (SCAN) on a PBEsol-optimized structure of Sr2AlFeRh.

Unit cell a=4.3262 b=5.5350 c=5.5350 alpha=90.00 beta=90.00 gamma=90.00
Closest atoms and distances in Å follow each position.
Positions (direct):
Sr (0.0000, 0.0000, 0.5000)  2 Fe 2.77
Sr (0.0000, 0.5000, 0.0000)  2 Fe 2.77
Rh (0.5000, 0.0000, 0.0000)  2 Fe 2.16
Fe (0.0000, 0.0000, 0.0000)  2 Rh 2.16
Al (0.5000, 0.5000, 0.5000)  8 Sr 3.51, 4 Rh 3.91

Results
Energy of formation = 0.509 eV/atom
Calculated density = 4.52 g/cm³
Space group = P4/mmm, No. 123

=====

VASP calculation (SCAN) on a PBEsol-optimized structure of Al2FeRu.

Unit cell a=2.9366 b=4.1244 c=4.1244 alpha=90.00 beta=90.00 gamma=90.00
Closest atoms and distances in Å follow each position.
Positions (direct):
Ru (0.5000, 0.0000, 0.0000)  8 Al 2.53
Fe (0.5000, 0.5000, 0.5000)  8 Al 2.53
Al (0.0000, 0.0000, 0.5000)  4 Fe 2.53, 4 Ru 2.53
Al (0.0000, 0.5000, 0.0000)  4 Fe 2.53, 4 Ru 2.53

Results
Energy of formation = -0.602 eV/atom
Calculated density = 7.01 g/cm³
Space group = P4/mmm, No. 123

=====

VASP calculation (SCAN) on a PBEsol-optimized structure of Al2FeRu.

Unit cell a=2.6829 b=2.6829 c=7.4042 alpha=90.00 beta=90.00 gamma=90.00
Closest atoms and distances in Å follow each position.
Positions (direct):
Ru (0.5000, 0.5000, 0.7236)  4 Fe 2.45, 4 Al 2.66, 4 Ru 2.68
Fe (0.0000, 0.0000, 0.5140)  4 Ru 2.45, 4 Al 2.53, 4 Fe 2.68
Al (0.0000, 0.0000, 0.9749)  4 Ru 2.66, 4 Al 2.68
Al (0.5000, 0.5000, 0.2875)  4 Fe 2.53, 4 Al 2.68

Results
Energy of formation = -0.126 eV/atom
Calculated density = 6.57 g/cm³
Space group = P4mm, No. 99

=====

VASP calculation (SCAN) on a PBEsol-optimized structure of AlFeRu.

Unit cell a=2.6720 b=2.6720 c=6.1132 alpha=90.00 beta=90.00 gamma=120.00
Closest atoms and distances in Å follow each position.
Positions (direct):
Ru (0.6667, 0.3333, 0.3454)  3 Fe 2.48, 3 Al 2.66, 6 Ru 2.67
Fe (0.3333, 0.6667, 0.6632)  3 Ru 2.48, 3 Al 2.53, 6 Fe 2.67
Al (0.0000, 0.0000, 0.9914)  3 Fe 2.53, 3 Ru 2.66, 6 Al 2.67

Results
Energy of formation = -0.135 eV/atom
Calculated density = 8.08 g/cm³
Space group = P3m1, No. 156

=====

VASP calculation (SCAN) on a PBEsol-optimized structure of AlFe3S.

Unit cell a=4.0381 b=4.0381 c=4.0381 alpha=90.00 beta=90.00 gamma=90.00
Closest atoms and distances in Å follow each position.
Positions (direct):
S (0.0000, 0.0000, 0.0000)  6 Fe 2.02
Fe (0.0000, 0.5000, 0.0000)  2 S 2.02
Fe (0.0000, 0.0000, 0.5000)  2 S 2.02
Fe (0.5000, 0.0000, 0.0000)  2 S 2.02
Al (0.5000, 0.5000, 0.5000)  12 Fe 2.86

Results
Formation energy (no corrections) = 13.7 kJ per mole of atoms
Calculated density = 5.71 g/cm³
Space group = Pm-3m, No. 221

=====

VASP calculation (SCAN) on a PBEsol-optimized structure of Al3FeSb.

Unit cell a=5.1616 b=5.1616 c=5.1616 alpha=90.00 beta=90.00 gamma=90.00
Closest atoms and distances in Å follow each position.
Positions (direct):
Sb (0.0000, 0.0000, 0.0000)  6 Al 2.58
Fe (0.5000, 0.5000, 0.5000)  12 Al 3.65
Al (0.0000, 0.5000, 0.0000)  2 Sb 2.58
Al (0.0000, 0.0000, 0.5000)  2 Sb 2.58
Al (0.5000, 0.0000, 0.0000)  2 Sb 2.58

Results
Formation energy (no corrections) = 141.0 kJ per mole of atoms
Calculated density = 3.12 g/cm³
Space group = Pm-3m, No. 221

=====

VASP calculation (SCAN) on a PBEsol-optimized structure of AlFe6Sb.

Unit cell a=6.3380 b=6.3380 c=10.3935 alpha=90.00 beta=90.00 gamma=109.85
Closest atoms and distances in Å follow each position.
Positions (direct):
Al (0.2477, 0.7523, 0.0000)  12 Fe 2.54-2.62
Al (0.7523, 0.2477, 0.0000)  12 Fe 2.54-2.62
Al (0.5000, 0.5000, 0.7546)  12 Fe 2.54-2.65
Al (0.5000, 0.5000, 0.2454)  12 Fe 2.54-2.65
Fe (0.2545, 0.7455, 0.7560)  8 Fe 2.51-2.67, 2 Al 2.54-2.55, 2 Sb 2.64-2.66
Fe (0.8713, 0.6176, 0.8792)  8 Fe 2.51-2.63, 3 Al 2.54-2.57, 1 Sb 2.63
Fe (0.1287, 0.3824, 0.8792)  8 Fe 2.51-2.63, 3 Al 2.54-2.57, 1 Sb 2.63
Fe (0.7455, 0.2545, 0.7560)  8 Fe 2.51-2.67, 2 Al 2.54-2.55, 2 Sb 2.64-2.66
Fe (0.3824, 0.1287, 0.8792)  8 Fe 2.51-2.63, 3 Al 2.54-2.57, 1 Sb 2.63
Fe (0.6176, 0.8713, 0.8792)  8 Fe 2.51-2.63, 3 Al 2.54-2.57, 1 Sb 2.63
Fe (0.5000, 0.5000, 0.5000)  8 Fe 2.56, 2 Sb 2.63, 2 Al 2.65
Fe (0.1349, 0.3799, 0.6294)  1 Al 2.54, 8 Fe 2.54-2.69, 3 Sb 2.60-2.64
Fe (0.3799, 0.1349, 0.6294)  1 Al 2.54, 8 Fe 2.54-2.69, 3 Sb 2.60-2.64
Fe (0.2545, 0.7455, 0.2440)  8 Fe 2.51-2.67, 2 Al 2.54-2.55, 2 Sb 2.64-2.66
Fe (0.8651, 0.6201, 0.3706)  1 Al 2.54, 8 Fe 2.54-2.69, 3 Sb 2.60-2.64
Fe (0.1349, 0.3799, 0.3706)  1 Al 2.54, 8 Fe 2.54-2.69, 3 Sb 2.60-2.64
Fe (0.7455, 0.2545, 0.2440)  8 Fe 2.51-2.67, 2 Al 2.54-2.55, 2 Sb 2.64-2.66
Fe (0.3799, 0.1349, 0.3706)  1 Al 2.54, 8 Fe 2.54-2.69, 3 Sb 2.60-2.64
Fe (0.6201, 0.8651, 0.3706)  1 Al 2.54, 8 Fe 2.54-2.69, 3 Sb 2.60-2.64
Fe (0.5000, 0.5000, 0.0000)  8 Fe 2.55, 4 Al 2.55-2.62
Fe (0.1287, 0.3824, 0.1208)  8 Fe 2.51-2.63, 3 Al 2.54-2.57, 1 Sb 2.63
Fe (0.3824, 0.1287, 0.1208)  8 Fe 2.51-2.63, 3 Al 2.54-2.57, 1 Sb 2.63
Fe (0.0000, 0.0000, 0.5000)  4 Sb 2.56-2.63, 8 Fe 2.63
Fe (0.6201, 0.8651, 0.6294)  1 Al 2.54, 8 Fe 2.54-2.69, 3 Sb 2.60-2.64
Fe (0.8651, 0.6201, 0.6294)  1 Al 2.54, 8 Fe 2.54-2.69, 3 Sb 2.60-2.64
Fe (0.0000, 0.0000, 0.0000)  2 Sb 2.56, 2 Al 2.57, 8 Fe 2.60
Fe (0.6176, 0.8713, 0.1208)  8 Fe 2.51-2.63, 3 Al 2.54-2.57, 1 Sb 2.63
Fe (0.8713, 0.6176, 0.1208)  8 Fe 2.51-2.63, 3 Al 2.54-2.57, 1 Sb 2.63
Sb (0.2463, 0.7537, 0.5000)  12 Fe 2.56-2.66
Sb (0.7537, 0.2463, 0.5000)  12 Fe 2.56-2.66
Sb (0.0000, 0.0000, 0.7534)  12 Fe 2.56-2.64
Sb (0.0000, 0.0000, 0.2466)  12 Fe 2.56-2.64

Results
Formation energy (no corrections) = -9.0 kJ per mole of atoms
Calculated density = 8.18 g/cm³
Space group = Cmmm, No. 65

=====

VASP calculation (SCAN) on a PBEsol-optimized structure of AlFeSb4.

Unit cell a=6.0623 b=6.0623 c=6.0623 alpha=60.00 beta=60.00 gamma=60.00
Closest atoms and distances in Å follow each position.
Positions (direct):
Sb (0.3752, 0.3752, 0.3752)  6 Sb 3.03-3.04
Sb (0.3752, 0.3752, 0.8745)  6 Sb 3.03-3.04
Sb (0.8745, 0.3752, 0.3752)  6 Sb 3.03-3.04
Sb (0.3752, 0.8745, 0.3752)  6 Sb 3.03-3.04
Fe (0.0000, 0.0000, 0.0000)  12 Sb 3.55, 4 Al 3.71
Al (0.7500, 0.7500, 0.7500)  12 Sb 3.55, 4 Fe 3.71

Results
Formation energy (no corrections) = 81.4 kJ per mole of atoms
Calculated density = 6.01 g/cm³
Space group = F-43m, No. 216

=====

VASP calculation (SCAN) on a PBEsol-optimized structure of Al2FeSb.

Unit cell a=3.8750 b=3.8750 c=4.3326 alpha=90.00 beta=90.00 gamma=90.00
Closest atoms and distances in Å follow each position.
Positions (direct):
Sb (0.0000, 0.0000, 0.5000)  4 Fe 2.74, 8 Al 2.91
Fe (0.5000, 0.5000, 0.5000)  4 Sb 2.74, 8 Al 2.91
Al (0.0000, 0.5000, 0.0000)  4 Al 2.74, 4 Fe 2.91, 4 Sb 2.91
Al (0.5000, 0.0000, 0.0000)  4 Al 2.74, 4 Fe 2.91, 4 Sb 2.91

Results
Formation energy (no corrections) = 25.3 kJ per mole of atoms
Calculated density = 5.91 g/cm³
Space group = P4/mmm, No. 123